VASP calculation (PBEsol) on an optimized crystal structure of LiHF.

```
6
Lattice="2.7466 0.0002 0.0000 -0.0132 2.7466 0.0000 -1.2430 -1.2490 6.7206" Properties=species:S:1:pos:R:3 pbc="T T T"
F 0.8073 0.8112 5.6789
Li -0.5587 -0.5614 5.7484
H 1.8440 1.8530 3.3934
F 0.6832 0.6865 1.0416
Li 2.0492 2.0592 0.9721
H -0.3536 -0.3553 3.3272
```

Final energy ... -0.15888 hartree per atom
Density ... 1.8 Mg/m³
Space group ... C2/m, No. 12

***

VASP calculation (PBEsol) on an optimized crystal structure of LiHF2.

```
4
Lattice="-2.2038 -0.8972 -1.7702 -0.5120 -2.8965 -0.3788 -3.6604 -1.2235 2.6929" Properties=species:S:1:pos:R:3 pbc="T T T"
F -2.4701 -2.5193 -0.6164
H -3.1881 -2.5086 0.2719
F -3.9060 -2.4979 1.1603
Li 0.0000 0.0000 0.0000
```

Final energy ... -0.17089 hartree per atom
Density ... 2.3 Mg/m³
Space group ... R-3m, No. 166

***

VASP calculation (PBEsol) on an optimized crystal structure of LiPH4NO3F.

```
44
Lattice="-3.1381 3.7442 0.7449 -2.8249 -3.0723 3.5422 8.3353 4.9066 10.4526" Properties=species:S:1:pos:R:3 pbc="T T T"
H 2.0019 1.3441 5.4815
O 0.5626 -0.0048 6.7197
F 2.9078 5.8193 13.3899
H 2.3022 0.0538 9.5841
O 1.1888 0.8855 2.7268
Li 5.5031 3.3346 8.4963
O 1.1835 4.6929 12.0129
P 4.9449 2.3090 11.5007
O 2.2483 3.4186 9.2818
O 1.8097 5.5832 8.0200
H 2.3885 1.6896 8.9944
N 5.3022 5.8397 10.9026
F -0.1492 2.0409 7.9000
P -2.5726 3.2694 3.2389
H 0.0701 5.5246 5.1556
H -3.4047 -0.5630 4.7231
H 5.3287 4.8006 10.9074
Li 2.2089 3.2986 11.1915
O -1.8304 0.8631 6.5127
H 4.2991 6.1659 10.9366
H -1.9268 -0.5875 3.8031
P -0.3563 1.2082 6.5435
F -0.5355 -0.2410 1.3498
H 1.8871 0.4095 7.9632
O 0.1240 2.1598 5.4579
H 5.8254 6.2232 11.7245
N -2.9299 -0.2614 3.8371
Li 0.1635 2.2798 3.5482
H -3.4531 -0.6448 3.0152
O -3.3734 2.7001 4.4007
F 2.5215 3.5375 6.8397
N 2.5147 0.6684 8.7603
H 0.3704 4.2343 9.2582
O -1.6170 2.2458 2.6178
Li -3.1308 2.2437 6.2434
O 3.9893 3.3325 12.1219
H 0.4852 5.1689 6.7765
O 4.2027 4.7153 8.2270
P 2.7286 4.3701 8.1962
H -2.9564 0.7778 3.8323
H 5.7770 6.1414 10.0165
N -0.1424 4.9100 5.9794
H -0.0162 3.8888 5.7453
O 5.7457 2.8783 10.3390
```

Final energy ... -0.21602 hartree per atom
Density ... 2.1 Mg/m³
Space group ... P2_1/c, No. 14

***

VASP calculation (PBEsol) on an optimized crystal structure of Li2VH2OF5.

```
22
Lattice="-1.9381 -0.7150 5.2226 2.7969 -3.9739 2.8157 4.9057 4.7582 3.2084" Properties=species:S:1:pos:R:3 pbc="T T T"
F 3.9940 1.3030 6.4836
F 1.0953 -0.5431 7.2753
Li 5.5814 1.2808 9.0280
H 3.6882 -1.9505 4.6488
F -0.3575 0.0047 3.6754
O 3.6269 -2.5115 3.8193
O 2.1376 2.5808 7.4273
Li 0.1830 -1.2116 2.2185
H 2.7036 -2.4793 3.4278
F 1.7704 -1.2338 4.7629
H 3.0608 2.5485 7.8187
F -0.6646 -1.9212 5.6628
V 5.3957 0.3383 5.7711
F 4.6691 0.6124 3.9713
Li 2.7638 1.0794 3.7577
F 4.3526 -1.3070 5.9634
F 6.4291 1.9904 5.5838
H 2.0763 2.0198 6.5977
F 1.4118 1.3763 5.2831
F 6.1220 0.0646 7.5712
V 0.3687 -0.2691 5.4754
Li 3.0007 -1.0102 7.4889
```

Final energy ... -0.20382 hartree per atom
Density ... 2.7 Mg/m³
Space group ... C2/c, No. 15

***

VASP calculation (PBEsol) on an optimized crystal structure of MgSiH12O6F6.

```
52
Lattice="-1.9448 5.7188 -2.2711 -3.7789 -0.0065 7.4543 7.5240 4.0747 3.8178" Properties=species:S:1:pos:R:3 pbc="T T T"
H 0.0177 2.0090 7.6358
H -0.7538 0.5711 2.5584
F -1.5308 1.9870 3.2150
F -1.9122 3.3770 1.2692
O 4.1800 4.2359 9.2802
H -0.1331 5.6561 1.6880
F -2.3689 4.2325 3.4820
H 4.1173 5.0504 8.7313
F 0.6975 4.6944 8.4433
Mg 1.8725 2.0341 5.6360
H 2.5540 9.2159 6.4426
Si -2.8619 2.8562 2.5916
F 2.9761 6.5878 0.9200
H 3.0637 4.4301 6.2254
H 1.9509 5.9626 3.5655
F 1.1028 5.0926 0.5577
H 5.1198 4.5236 2.5827
O 2.9329 2.5405 3.9616
H -0.1506 3.8245 5.4356
O 0.2720 3.1079 4.9092
H 2.3335 7.1898 8.4455
O 5.5073 4.3191 3.4662
H 0.7523 7.3042 8.6176
F -0.7628 5.0195 6.5383
F 2.5631 4.7676 2.4627
H -0.4162 2.7100 4.3264
O -2.3797 5.5512 -0.2792
H -3.3195 5.2635 6.4183
O -3.7070 5.4680 5.5349
H -1.2635 5.3570 2.7757
O 2.5161 3.7192 6.6343
O -1.1327 7.2466 5.0395
H -0.9411 6.5018 5.6538
H 2.2164 7.0771 4.6747
H -0.5332 2.5973 0.5556
H 1.9334 4.1310 7.3130
F 4.1691 5.5546 5.5190
Si 2.7896 4.8968 0.7734
F 3.7124 6.4101 7.7318
F -1.1758 3.1993 8.0810
H 1.0480 2.4829 0.3834
Mg 0.0000 0.0000 0.0000
H -3.1440 5.0455 4.8461
H 4.9443 4.7416 4.1549
O 0.1893 2.0431 0.1813
H 2.7413 3.2853 3.3473
F 3.3310 7.8000 5.7860
O 1.5282 6.6792 4.0918
H -2.3170 4.7366 0.2697
O 1.6110 7.7440 8.8197
H 1.7826 7.7781 1.3652
O -0.7159 6.0679 2.3667
```

Final energy ... -0.19251 hartree per atom
Density ... 1.8 Mg/m³
Space group ... P2_1/c, No. 14

***

VASP calculation (PBEsol) on an optimized crystal structure of MnHNF2.

```
5
Lattice="-1.8899 1.0508 1.5659 -2.7817 -2.2855 -1.8235 0.6228 -2.9223 2.7127" Properties=species:S:1:pos:R:3 pbc="T T T"
H 0.0000 0.0000 0.0000
F -1.3908 -1.1428 -0.9118
N -0.9450 0.5254 0.7830
F 0.3114 -1.4612 1.3563
Mn -2.0244 -2.0785 1.2275
```

Final energy ... -0.18925 hartree per atom
Density ... 4.1 Mg/m³
Space group ... P4/mmm, No. 123

***

VASP calculation (PBEsol) on an optimized crystal structure of MnHNF2.

```
5
Lattice="3.4492 0.0000 0.0000 0.0000 4.2079 0.0000 0.0000 0.0000 4.2079" Properties=species:S:1:pos:R:3 pbc="T T T"
F 0.0000 2.1040 0.0000
H 1.7246 2.1040 2.1040
N 0.0000 0.0000 0.0000
F 0.0000 0.0000 2.1040
Mn 1.7246 0.0000 0.0000
```

Final energy ... -0.17269 hartree per atom
Density ... 2.9 Mg/m³
Space group ... P4/mmm, No. 123

***

VASP calculation (PBEsol) on an optimized crystal structure of MnH8N2F6.

```
34
Lattice="5.8045 0.0000 0.0000 -2.9023 5.0269 0.0000 0.0000 0.0000 9.2678" Properties=species:S:1:pos:R:3 pbc="T T T"
H 2.0563 4.5385 8.6855
H -0.8425 2.8648 5.4596
H 0.0000 3.3512 6.8420
F 4.1926 0.9306 5.9300
Mn 0.0000 3.3512 2.3433
H 0.8425 2.8648 5.4596
F -1.2904 4.0962 1.2961
H -2.0563 4.5385 8.6855
H 2.9023 4.0501 4.0516
F 1.6119 0.9306 5.9300
F 0.0000 4.8364 3.3878
H 2.0597 2.1621 0.8257
H 0.0000 4.3241 5.4596
F 2.9023 3.1656 5.9300
F 1.6161 2.4182 8.0217
F -1.2862 2.6087 3.3878
Mn 2.9023 1.6756 6.9772
H 2.9023 1.6756 2.2081
H 2.9023 0.7028 0.8257
F 0.0000 1.8612 1.2961
N 2.9023 1.6756 1.1757
N 0.0000 3.3512 5.8096
H 0.0000 0.0000 7.3089
H 4.9586 0.4884 4.0516
N 0.0000 0.0000 8.3424
F 4.1885 2.4182 8.0217
N 0.0000 0.0000 3.7084
H 0.8459 0.4884 4.0516
H 0.0000 0.9768 8.6855
F 2.9023 0.1905 8.0217
H 3.7448 2.1621 0.8257
F 1.2862 2.6087 3.3878
H 0.0000 0.0000 2.6750
F 1.2904 4.0962 1.2961
```

Final energy ... -0.19205 hartree per atom
Density ... 2.5 Mg/m³
Space group ... P6_3mc, No. 186

***

VASP calculation (PBEsol) on an optimized crystal structure of MnHOF2.

```
5
Lattice="-2.9579 1.8334 -0.6166 -1.4068 -1.1224 3.4113 1.5738 3.1005 1.6692" Properties=species:S:1:pos:R:3 pbc="T T T"
F 0.7869 1.5503 0.8346
O -1.4790 0.9167 -0.3083
H -1.3955 1.9057 2.2320
Mn 0.0000 0.0000 0.0000
F -0.7034 -0.5612 1.7057
```

Final energy ... -0.20140 hartree per atom
Density ... 3.5 Mg/m³
Space group ... P4/mmm, No. 123

***

VASP calculation (PBEsol) on an optimized crystal structure of Mn3H24O12F8.

```
47
Lattice="5.8596 -0.0156 0.0297 -2.4655 8.5624 0.1116 -1.9815 -3.9789 7.6429" Properties=species:S:1:pos:R:3 pbc="T T T"
Mn 2.9524 0.0766 4.7346
H 3.3641 5.7572 0.1566
H 0.0588 2.3277 1.5439
F -2.4005 -0.1350 6.7024
H 1.9769 2.4560 0.3058
Mn 0.0000 0.0000 0.0000
O 2.1868 -3.4126 7.0983
H -0.5644 2.1119 7.4783
H 0.6264 5.9552 3.3802
O 0.3736 5.2086 2.7331
O 0.4426 2.1111 0.6362
O 5.1655 -0.4272 1.7789
O 0.9699 2.4568 7.1479
O -0.7742 7.9805 0.6858
F -2.1404 6.3591 3.3264
H -1.9515 -1.1893 7.6275
O -3.7529 4.9951 6.0052
H 3.2972 3.4549 0.4160
H 0.4856 5.5153 1.7505
O -1.0872 0.9184 4.5607
H -0.9053 1.6286 3.8618
F -0.7229 2.7288 2.8499
O 1.0389 -0.6407 5.0510
F 2.8707 0.1021 2.6014
H -0.2832 -1.1517 2.3115
H 2.1182 -0.2454 1.4590
H -0.3014 7.0906 0.3986
H 0.7862 -1.3873 4.4039
H -1.8846 1.1130 7.3681
F 2.1354 1.8391 4.9342
H 1.6958 5.7196 5.4725
O 2.4998 3.6495 3.2234
H 0.9270 -0.9474 6.0336
H 1.7140 -2.5227 7.3855
H 1.6678 4.1850 3.0483
H -0.7057 4.8133 6.3251
F 3.5530 -1.7912 4.4577
H 1.3538 2.2401 6.2402
O 0.5075 5.8751 0.2415
F 3.8131 4.7029 1.0817
Mn -1.5398 4.4913 3.0495
H 4.2173 -0.1892 2.1019
H -0.2552 0.3829 4.7358
F -1.4581 4.4658 5.1827
H -2.8047 4.7571 5.6822
H 2.3179 2.9393 3.9223
O 0.9051 -1.3072 7.5426
```

Final energy ... -0.19685 hartree per atom
Density ... 2.3 Mg/m³
Space group ... P-1, No. 2

***

VASP calculation (PBEsol) on an optimized crystal structure of Rb2MnP2H3O8F2.

```
36
Lattice="7.4494 0.0000 0.0214 0.0000 7.8822 0.0000 -3.5812 0.0000 7.7221" Properties=species:S:1:pos:R:3 pbc="T T T"
H 1.9654 5.6555 7.1443
P 4.6204 6.7961 1.0281
F 1.1746 4.3840 1.2535
H 3.7556 6.1583 3.2832
O 1.7076 0.3762 4.0550
Mn 2.8299 3.9357 1.9415
O 3.8938 6.0444 4.3316
H -2.6850 3.9369 5.7919
O -0.0256 2.1033 3.4118
O -1.4936 3.8341 5.7794
O 2.1606 4.3173 3.6885
F -0.6172 7.4299 5.1141
O 5.6851 5.7703 0.4706
O 2.1199 1.7875 2.0259
H 6.5532 7.8780 1.9516
F 2.6936 0.4428 6.4900
O 5.3618 7.7752 1.9640
O 0.2955 0.0986 1.9175
P -0.7522 2.8550 6.7154
Rb 6.2329 2.6856 0.4612
O -1.8169 1.8292 7.2729
F 4.4854 3.4888 2.6294
Rb -0.5733 5.1871 3.4208
Rb 4.4415 1.2460 4.3227
Mn 1.0384 7.8768 5.8020
O 0.3290 2.1431 5.8868
O 1.7483 5.7286 5.7176
P 1.0379 1.0763 2.8540
H 0.1126 2.2172 4.4603
O 0.3688 7.4949 7.5488
O 3.4994 3.5537 0.1947
H 1.9028 1.7144 0.5992
P 2.8303 5.0174 4.8894
O 3.5392 6.0842 1.8567
O 3.5727 4.0398 5.8260
Rb -2.3647 6.6267 7.2823
```

Final energy ... -0.23607 hartree per atom
Density ... 3.3 Mg/m³
Space group ... P2_1/c, No. 14

***

VASP calculation (PBEsol) on an optimized crystal structure of Rb2MnH2OF5.

```
22
Lattice="6.1199 -0.0050 0.0000 -0.9900 6.0393 0.0000 0.0000 0.0000 8.4435" Properties=species:S:1:pos:R:3 pbc="T T T"
Mn 2.5649 3.0171 0.0000
F 1.3453 1.5825 4.2212
Rb 2.5938 0.0123 2.1109
Rb -0.4054 2.5619 2.1109
Rb 2.5360 6.0220 6.3326
F 1.3453 1.5825 0.0005
H 0.6866 0.8076 7.1321
F 2.5500 2.9996 2.1109
H 4.4432 5.2266 1.3114
F 1.1619 4.2098 0.0000
F 3.7845 4.4517 8.4430
F 3.7845 4.4517 4.2223
F 3.9679 1.8245 0.0000
Rb 5.5352 3.4723 6.3326
H 4.4432 5.2266 2.9104
F 3.9679 1.8245 4.2217
Mn 2.5649 3.0171 4.2217
O 4.8265 5.6774 2.1109
F 1.1619 4.2098 4.2217
H 0.6866 0.8077 5.5331
F 2.5798 3.0347 6.3326
O 0.3033 0.3568 6.3326
```

Final energy ... -0.19350 hartree per atom
Density ... 3.6 Mg/m³
Space group ... Cmcm, No. 63